Computed, not measured: crystalline LaNdIn2 at its relaxed geometry at the GGA-PBE level of DFT.

```
4
Lattice="3.915 0.000 0.000 0.000 3.915 0.000 0.000 0.000 7.840" Properties=species:S:1:pos:R:3 pbc="T T T"
La 0.000 0.000 0.000
Nd 0.000 0.000 3.920
In 1.957 1.957 2.030
In 1.957 1.957 5.810
```

E_form (eV per atom): -0.508


Computed, not measured: crystalline LiGa2Pt4 at its relaxed geometry at the GGA-PBE level of DFT.

```
7
Lattice="-2.090 2.090 6.475 2.090 -2.090 6.475 2.090 2.090 -6.475" Properties=species:S:1:pos:R:3 pbc="T T T"
Li 0.000 0.000 0.000
Ga 0.000 0.000 4.789
Ga 0.000 0.000 8.162
Pt 2.090 0.000 0.000
Pt 0.000 0.000 2.389
Pt 0.000 2.090 0.000
Pt 0.000 0.000 10.562
```

Offset from the most stable computed form (eV per atom): 0.574
E_form (eV per atom): 0.012